# 1
Below is an optimized crystal structure of PaB4, with properties calculated at the PBE-GGA level.

Properties
Formation energy from the elements   -628 meV/atom
Relative energy among the computed polymorphs   0 meV/atom
M_tot   0.000 μB per atom
DOS at the Fermi energy   2.45 states/eV/f.u.

The structure in CIF format:
```
data_PaB4
_symmetry_space_group_name_H-M 'P 4/m b m'
_symmetry_Int_Tables_number 127
_symmetry_space_group_name_Hall '-P 4 2ab'
_cell_length_a 7.104
_cell_length_b 7.104
_cell_length_c 4.011
_cell_angle_alpha 90.00
_cell_angle_beta 90.00
_cell_angle_gamma 90.00
loop_
_atom_site_label
_atom_site_fract_x
_atom_site_fract_y
_atom_site_fract_z
Pa1 0.190 0.310 0.000
B1 0.000 0.000 0.200
B2 0.039 0.822 0.500
B3 0.088 0.588 0.500
```


# 2
Below is an optimized crystal structure of PaB3, with properties calculated at the PBE-GGA level.

Properties
Formation energy from the elements   -12 meV/atom
Relative energy among the computed polymorphs   206 meV/atom
M_tot   0.000 μB per atom
DOS at the Fermi energy   0.86 states/eV/f.u.

The structure in CIF format:
```
data_PaB3
_symmetry_space_group_name_H-M 'P 4 m m'
_symmetry_Int_Tables_number 99
_cell_length_a 3.133
_cell_length_b 3.133
_cell_length_c 4.498
_cell_angle_alpha 90.00
_cell_angle_beta 90.00
_cell_angle_gamma 90.00
loop_
_symmetry_equiv_pos_as_xyz
'x,y,z'
'-y,x,z'
'-x,-y,z'
'y,-x,z'
'-x,y,z'
'y,x,z'
'x,-y,z'
'-y,-x,z'
loop_
_atom_site_label
_atom_site_fract_x
_atom_site_fract_y
_atom_site_fract_z
Pa1 0.000 0.000 0.000
B1 0.000 0.500 0.485
B2 0.500 0.500 0.674
```


# 3
Below is an optimized crystal structure of Pa5B, with properties calculated at the PBE-GGA level.

Properties
Formation energy from the elements   156 meV/atom
M_tot   0.000 μB per atom
DOS at the Fermi energy   11.92 states/eV/f.u.

The structure in CIF format:
```
data_Pa5B
_symmetry_space_group_name_H-M 'C m m m'
_symmetry_Int_Tables_number 65
_symmetry_space_group_name_Hall '-C 2 2'
_cell_length_a 5.436
_cell_length_b 15.143
_cell_length_c 3.242
_cell_angle_alpha 90.00
_cell_angle_beta 90.00
_cell_angle_gamma 90.00
loop_
_atom_site_label
_atom_site_fract_x
_atom_site_fract_y
_atom_site_fract_z
Pa1 0.000 0.000 0.000
Pa2 0.000 0.192 0.500
Pa3 0.000 0.377 0.000
B1 0.000 0.500 0.500
```


# 4
Below is an optimized crystal structure of Pa4B, with properties calculated at the PBE-GGA level.

Properties
Formation energy from the elements   180 meV/atom
M_tot   0.000 μB per atom
DOS at the Fermi energy   8.98 states/eV/f.u.

The structure in CIF format:
```
data_Pa4B
_symmetry_space_group_name_H-M 'P m -3 m'
_symmetry_Int_Tables_number 221
_symmetry_space_group_name_Hall '-P 4 2 3'
_cell_length_a 4.891
_cell_length_b 4.891
_cell_length_c 4.891
_cell_angle_alpha 90.00
_cell_angle_beta 90.00
_cell_angle_gamma 90.00
loop_
_atom_site_label
_atom_site_fract_x
_atom_site_fract_y
_atom_site_fract_z
Pa1 0.000 0.000 0.000
Pa2 0.000 0.500 0.500
B1 0.500 0.500 0.500
```


# 5
Below is an optimized crystal structure of PaB4, with properties calculated at the PBE-GGA level.

Properties
Formation energy from the elements   2942 meV/atom
Relative energy among the computed polymorphs   3571 meV/atom
M_tot   0.000 μB per atom
DOS at the Fermi energy   4.87 states/eV/f.u.

The structure in CIF format:
```
data_PaB4
_symmetry_space_group_name_H-M 'P m -3 m'
_symmetry_Int_Tables_number 221
_symmetry_space_group_name_Hall '-P 4 2 3'
_cell_length_a 4.708
_cell_length_b 4.708
_cell_length_c 4.708
_cell_angle_alpha 90.00
_cell_angle_beta 90.00
_cell_angle_gamma 90.00
loop_
_atom_site_label
_atom_site_fract_x
_atom_site_fract_y
_atom_site_fract_z
Pa1 0.000 0.000 0.000
B1 0.000 0.000 0.500
B2 0.500 0.500 0.500
```


# 6
Below is an optimized crystal structure of Pa3B, with properties calculated at the PBE-GGA level.

Properties
Formation energy from the elements   45 meV/atom
Relative energy among the computed polymorphs   0 meV/atom
M_tot   0.000 μB per atom
DOS at the Fermi energy   6.17 states/eV/f.u.

The structure in CIF format:
```
data_Pa3B
_symmetry_space_group_name_H-M 'I m m 2'
_symmetry_Int_Tables_number 44
_cell_length_a 3.334
_cell_length_b 8.724
_cell_length_c 5.772
_cell_angle_alpha 90.00
_cell_angle_beta 90.00
_cell_angle_gamma 90.00
loop_
_symmetry_equiv_pos_as_xyz
'x,y,z'
'-x,-y,z'
'-x,y,z'
'x,-y,z'
'x+1/2,y+1/2,z+1/2'
'-x+1/2,-y+1/2,z+1/2'
'-x+1/2,y+1/2,z+1/2'
'x+1/2,-y+1/2,z+1/2'
loop_
_atom_site_label
_atom_site_fract_x
_atom_site_fract_y
_atom_site_fract_z
Pa1 0.000 0.000 0.000
Pa2 0.000 0.188 0.469
B1 0.000 0.500 0.177
```


# 7
Below is an optimized crystal structure of PaB3, with properties calculated at the PBE-GGA level.

Properties
Formation energy from the elements   411 meV/atom
Relative energy among the computed polymorphs   630 meV/atom
M_tot   0.000 μB per atom
DOS at the Fermi energy   3.17 states/eV/f.u.

The structure in CIF format:
```
data_PaB3
_symmetry_space_group_name_H-M 'I 4/m m m'
_symmetry_Int_Tables_number 139
_symmetry_space_group_name_Hall '-I 4 2'
_cell_length_a 3.652
_cell_length_b 3.652
_cell_length_c 8.179
_cell_angle_alpha 90.00
_cell_angle_beta 90.00
_cell_angle_gamma 90.00
loop_
_atom_site_label
_atom_site_fract_x
_atom_site_fract_y
_atom_site_fract_z
Pa1 0.000 0.000 0.000
B1 0.000 0.000 0.306
B2 0.000 0.000 0.500
```


# 8
Below is an optimized crystal structure of Pa3B, with properties calculated at the PBE-GGA level.

Properties
Formation energy from the elements   285 meV/atom
Relative energy among the computed polymorphs   240 meV/atom
M_tot   0.000 μB per atom
DOS at the Fermi energy   8.20 states/eV/f.u.

The structure in CIF format:
```
data_Pa3B
_symmetry_space_group_name_H-M 'P 4/m m m'
_symmetry_Int_Tables_number 123
_symmetry_space_group_name_Hall '-P 4 2'
_cell_length_a 4.238
_cell_length_b 4.238
_cell_length_c 4.458
_cell_angle_alpha 90.00
_cell_angle_beta 90.00
_cell_angle_gamma 90.00
loop_
_atom_site_label
_atom_site_fract_x
_atom_site_fract_y
_atom_site_fract_z
Pa1 0.000 0.000 0.000
Pa2 0.000 0.500 0.500
B1 0.500 0.500 0.000
```